No. 1
AcPd2Pb | PBE | relaxed

Results
The magnetic moment is 0.0 μB/cell. The raw total energy is -5.2001 eV per atom.

abc: 7.7986 4.7133 10.7398
angles: 90.00 90.00 90.00
With the nearest neighbours (Å) after each atom.
Space group Pnma (No. 62)
Inequivalent atoms, fractional coordinates:
Ac 0.1611 0.2500 0.1481 (multiplicity 4)  7 Pd 3.13-3.33
Pd 0.1025 0.2500 0.8445 (multiplicity 4)  2 Pb 2.77-2.82, 2 Pd 2.83
Pd 0.2458 0.7500 0.9464 (multiplicity 4)  2 Pd 2.83, 3 Pb 2.89-2.94
Pb 0.0414 0.7500 0.3909 (multiplicity 4)  5 Pd 2.77-2.94

***

No. 2
ZnFePd2 | PBE | relaxed

Results
The magnetic moment is 12.0 μB/cell. The raw total energy is -5.0913 eV per atom. As for the formation energy from the elements: -0.11 eV/atom.

abc: 6.1334 6.1334 6.1334
angles: 90.00 90.00 90.00
With the nearest neighbours (Å) after each atom.
Space group F-43m (No. 216)
Inequivalent atoms, fractional coordinates:
Zn 0.0000 0.0000 0.0000 (multiplicity 4)  4 Fe 2.66, 4 Pd 2.66
Fe 0.2500 0.2500 0.7500 (multiplicity 4)  4 Pd 2.66, 4 Zn 2.66
Pd 0.0000 0.0000 0.5000 (multiplicity 4)  4 Fe 2.66, 4 Pd 2.66
Pd 0.2500 0.2500 0.2500 (multiplicity 4)  4 Zn 2.66, 4 Pd 2.66

***

No. 3
ErTmCoSiGe | PBE | relaxed

Results
The magnetic moment is 0.2 μB/cell. The raw total energy is -6.0413 eV per atom. As for the polymorph energy (0 for the lowest one): 0 meV/atom.

abc: 10.3466 4.1063 10.0472
angles: 90.00 118.96 90.00
With the nearest neighbours (Å) after each atom.
Space group C2/m (No. 12)
Inequivalent atoms, fractional coordinates:
Er 0.1839 0.0000 0.1099 (multiplicity 4)  1 Si 2.84, 5 Ge 2.99-3.02
Tm 0.0008 0.0000 0.3333 (multiplicity 4)  2 Ge 2.84, 4 Co 2.85-3.07, 4 Si 2.93-3.03
Co 0.2312 0.5000 0.3846 (multiplicity 4)  3 Si 2.32-2.36, 1 Ge 2.59
Si 0.1497 0.5000 0.5670 (multiplicity 4)  3 Co 2.32-2.36
Ge 0.0152 0.5000 0.8697 (multiplicity 4)  1 Co 2.59, 1 Ge 2.78, 2 Tm 2.84

***

No. 4
NaTbAuSe3 | PBE | relaxed

Results
The magnetic moment is 0.0 μB/cell. The raw total energy is -4.3140 eV per atom.

abc: 4.0095 14.2481 10.6003
angles: 90.00 90.00 90.00
With the nearest neighbours (Å) after each atom.
Space group Cmcm (No. 63)
Inequivalent atoms, fractional coordinates:
Na 0.0000 0.2313 0.2500 (multiplicity 4)  6 Se 3.13-3.21
Tb 0.0000 0.0000 0.0000 (multiplicity 4)  6 Se 2.90-2.96
Au 0.0000 0.4726 0.7500 (multiplicity 4)  4 Se 2.59-2.64
Se 0.0000 0.0929 0.7500 (multiplicity 4)  2 Au 2.64
Se 0.0000 0.3598 0.5587 (multiplicity 8)  1 Au 2.59, 2 Tb 2.90

***

No. 5
Pr6Mg23C | PBE | relaxed

Results
The magnetic moment is 0.3 μB/cell. The raw total energy is -2.5529 eV per atom.

abc: 14.4307 14.4307 14.4307
angles: 90.00 90.00 90.00
With the nearest neighbours (Å) after each atom.
Space group Fm-3m (No. 225)
Inequivalent atoms, fractional coordinates:
Pr 0.0000 0.0000 0.1835 (multiplicity 24)  1 C 2.65
Mg 0.0000 0.0000 0.5000 (multiplicity 4)  8 Mg 3.01
Mg 0.0000 0.2500 0.2500 (multiplicity 24)  8 Mg 2.95-3.16
Mg 0.1205 0.1205 0.3795 (multiplicity 32)  7 Mg 3.01-3.18
Mg 0.1712 0.1712 0.1712 (multiplicity 32)  9 Mg 2.95-3.22
C 0.0000 0.0000 0.0000 (multiplicity 4)  6 Pr 2.65

***

No. 6
PrInPO | PBE | relaxed

Results
The magnetic moment is 0.0 μB/cell. The raw total energy is -5.0467 eV per atom. As for the polymorph energy (0 for the lowest one): 852 meV/atom.

abc: 4.5818 4.5818 8.1712
angles: 90.00 90.00 90.00
With the nearest neighbours (Å) after each atom.
Space group P4/nmm (No. 129, origin choice 2)
Inequivalent atoms, fractional coordinates:
Pr 0.2500 0.7500 0.0000 (multiplicity 2)  4 P 2.86
In 0.2500 0.2500 0.4262 (multiplicity 2)  4 O 2.37
P 0.2500 0.2500 0.7904 (multiplicity 2)  4 Pr 2.86, 1 In 2.98
O 0.2500 0.7500 0.5000 (multiplicity 2)  4 In 2.37

***

No. 7
LaHf3I | PBE | relaxed

Results
The magnetic moment is 0.8 μB/cell. The raw total energy is -6.4371 eV per atom.

abc: 5.3009 5.3009 5.3009
angles: 90.00 90.00 90.00
With the nearest neighbours (Å) after each atom.
Space group Pm-3m (No. 221)
Inequivalent atoms, fractional coordinates:
La 0.0000 0.0000 0.0000 (multiplicity 1)  12 Hf 3.75
Hf 0.0000 0.5000 0.5000 (multiplicity 3)  2 I 2.65
I 0.5000 0.5000 0.5000 (multiplicity 1)  6 Hf 2.65

***

No. 8
K2Pd2Se3 | PBE | relaxed

Results
The raw total energy is -3.6821 eV per atom. As for the polymorph energy (0 for the lowest one): 0 meV/atom.

abc: 9.1269 9.1269 9.1269
angles: 90.00 90.00 90.00
With the nearest neighbours (Å) after each atom.
Space group I2_13 (No. 199)
Inequivalent atoms, fractional coordinates:
K 0.0961 0.0961 0.0961 (multiplicity 8)  6 Se 3.28-3.32, 3 K 3.31, 1 Pd 3.34
Pd 0.1151 0.3849 0.6151 (multiplicity 8)  3 Se 2.47
Se 0.0000 0.2500 0.4109 (multiplicity 12)  2 Pd 2.47

***

No. 9
LaPmTeO2 | PBE | relaxed

Results
The magnetic moment is 0.0 μB/cell. The raw total energy is -7.5080 eV per atom.

abc: 4.0604 4.0604 12.8832
angles: 90.00 90.00 90.00
With the nearest neighbours (Å) after each atom.
Space group I4mm (No. 107)
Inequivalent atoms, fractional coordinates:
La 0.0000 0.0000 0.0000 (multiplicity 2)  4 O 2.37
Pm 0.0000 0.0000 0.6824 (multiplicity 2)  4 O 2.32
Te 0.0000 0.0000 0.3406 (multiplicity 2)  4 Pm 3.52, 4 La 3.53, 8 O 3.77-3.85
O 0.0000 0.5000 0.0945 (multiplicity 4)  2 Pm 2.32, 2 La 2.37

***

No. 10
Rb2ZrAg2Te4 | PBE | relaxed

Results
The magnetic moment is 0.0 μB/cell. The raw total energy is -3.9712 eV per atom.

abc: 6.5555 14.9835 6.5421
angles: 90.00 90.00 90.00
With the nearest neighbours (Å) after each atom.
Space group C222 (No. 21)
Inequivalent atoms, fractional coordinates:
Rb 0.2500 0.2500 0.2430 (multiplicity 4)  8 Te 3.85-3.94
Zr 0.0000 0.0000 0.5000 (multiplicity 2)  4 Te 2.78
Ag 0.0000 0.0000 0.0000 (multiplicity 2)  4 Te 2.84
Ag 0.0000 0.5000 0.5000 (multiplicity 2)  4 Te 2.84
Te 0.2426 0.1097 0.7425 (multiplicity 8)  1 Zr 2.78, 2 Ag 2.84

***

No. 11
LaPbAu | PBE | relaxed

Results
The magnetic moment is 0.0 μB/cell. The raw total energy is -4.3686 eV per atom.

abc: 5.3535 5.3535 6.5928
angles: 90.00 90.00 120.00
With the nearest neighbours (Å) after each atom.
Space group P6_3/mmc (No. 194)
Inequivalent atoms, fractional coordinates:
La 0.3333 0.6667 0.2500 (multiplicity 2)  5 Pb 3.09-3.30
Pb 0.3333 0.6667 0.7500 (multiplicity 2)  5 La 3.09-3.30
Au 0.0000 0.0000 0.0000 (multiplicity 2)  2 Au 3.30, 6 Pb 3.50, 6 La 3.50

***

No. 12
AcB4W | PBE | relaxed

Results
The magnetic moment is 0.0 μB/cell. The raw total energy is -7.4128 eV per atom. As for the polymorph energy (0 for the lowest one): 0 meV/atom.

abc: 3.1788 3.1788 7.8088
angles: 90.00 90.00 120.00
With the nearest neighbours (Å) after each atom.
Space group P6/mmm (No. 191)
Inequivalent atoms, fractional coordinates:
Ac 0.0000 0.0000 0.0000 (multiplicity 1)  12 B 2.95, 6 Ac 3.18
B 0.3333 0.6667 0.2956 (multiplicity 4)  3 B 1.84
W 0.0000 0.0000 0.5000 (multiplicity 1)  12 B 2.43